(1)
PmPrZn6: relaxed, PBE-GGA.

a = 4.4234 Å, b = 6.4458 Å, c = 6.4458 Å
α = 61.96°, β = 90.00°, γ = 90.00°
With the nearest neighbours (Å) after each atom.
Element x y z (fractional)
Pm: 0.0000 0.0000 0.0000  12 Zn 3.07-3.32
Pr: 0.5000 0.3163 0.3163  12 Zn 3.09-3.32
Zn: 0.0000 0.5110 0.5110  6 Zn 2.72-2.81
Zn: 0.0000 0.5285 0.9392  6 Zn 2.72-2.81
Zn: 0.0000 0.9392 0.5285  6 Zn 2.72-2.81
Zn: 0.5000 0.3742 0.7894  6 Zn 2.72-2.85
Zn: 0.5000 0.7894 0.3742  6 Zn 2.72-2.85
Zn: 0.5000 0.8080 0.8080  6 Zn 2.72-2.85

Summary:
calculated volume: 162 Å³ per cell
calculated total energy: -2.45 eV per atom
energy of formation: -29.2 kJ/mol of atoms
mass density: 6.94 g cm⁻³

(2)
PrSi2Pd6: relaxed, PBE-GGA.

a = 5.6293 Å, b = 5.6293 Å, c = 6.3201 Å
α = 90.00°, β = 90.00°, γ = 120.00°
With the nearest neighbours (Å) after each atom.
Element x y z (fractional)
Pr: 0.0000 0.0000 0.0000  12 Pd 3.14
Si: 0.3333 0.6667 0.5000  6 Pd 2.40
Si: 0.6667 0.3333 0.5000  6 Pd 2.40
Pd: 0.0000 0.5000 0.2212  2 Si 2.40
Pd: 0.0000 0.5000 0.7788  2 Si 2.40
Pd: 0.5000 0.0000 0.2212  2 Si 2.40
Pd: 0.5000 0.0000 0.7788  2 Si 2.40
Pd: 0.5000 0.5000 0.2212  2 Si 2.40
Pd: 0.5000 0.5000 0.7788  2 Si 2.40

Summary:
calculated volume: 173 Å³ per cell
calculated total energy: -5.80 eV per atom
mass density: 8.00 g cm⁻³
formation energy without anion corrections: -597.2 meV per atom

(3)
Ba2Na5Li5: relaxed, PBE-GGA.

a = 5.2816 Å, b = 6.6346 Å, c = 12.1550 Å
α = 90.00°, β = 90.00°, γ = 90.00°
With the nearest neighbours (Å) after each atom.
Element x y z (fractional)
Ba: 0.0000 0.0000 0.0000  6 Na 3.89-3.90, 12 Li 4.24-4.27
Ba: 0.0000 0.5000 0.5000  10 Na 3.97-4.24, 8 Li 4.44
Na: 0.0000 0.0000 0.3205  4 Li 3.27, 2 Na 3.43
Na: 0.0000 0.0000 0.6795  4 Li 3.27, 2 Na 3.43
Na: 0.0000 0.5000 0.1679  6 Li 3.24-3.34
Na: 0.0000 0.5000 0.8321  6 Li 3.24-3.34
Na: 0.5000 0.0000 0.5000  4 Na 3.43, 4 Li 3.57
Li: 0.5000 0.2512 0.2401  5 Na 3.24-3.57, 3 Li 3.30-3.35
Li: 0.5000 0.2512 0.7599  5 Na 3.24-3.57, 3 Li 3.30-3.35
Li: 0.5000 0.5000 0.0000  4 Na 3.34, 4 Li 3.35
Li: 0.5000 0.7488 0.2401  5 Na 3.24-3.57, 3 Li 3.30-3.35
Li: 0.5000 0.7488 0.7599  5 Na 3.24-3.57, 3 Li 3.30-3.35

Summary:
calculated volume: 426 Å³ per cell
calculated total energy: -1.61 eV per atom
energy of formation: 5.8 kJ/mol of atoms
E above lowest polymorph: 0.016 eV per atom
mass density: 1.65 g cm⁻³

(4)
MnCdHN: relaxed, PBE-GGA.

a = 3.0549 Å, b = 3.0549 Å, c = 6.5501 Å
α = 103.29°, β = 103.29°, γ = 61.81°
With the nearest neighbours (Å) after each atom.
Element x y z (fractional)
Mn: 0.0000 0.0000 0.0000  1 H 1.58
Cd: 0.8144 0.8144 0.4312  1 H 2.01
H: 0.9134 0.9134 0.7496  1 Mn 1.58
N: 0.6603 0.6603 0.0019  3 Mn 1.78

Summary:
calculated volume: 52 Å³ per cell
calculated total energy: -5.35 eV per atom
E above lowest polymorph: 0.131 eV per atom
mass density: 5.83 g cm⁻³

Question: Look up the calculated total energy of the second one.
Answer: -5.80 eV per atom

Question: Which value of calculated total energy does entry 4 give?
Answer: -5.35 eV per atom

Question: Among the records above, which one has the highest calculated volume?
Answer: Ba2Na5Li5